The following is a PBE calculation of an optimized crystal structure of Y2Ho3Te6, from the Alexandria database.

The calculation puts the total energy at -5.53 eV per atom. The formation energy without anion corrections is -1.39 eV per atom. The calculated density is 6.97 g cm⁻³.

The space group is C2/m (No. 12) and the conventional cell measures 7.5123, 12.9343 and 7.4827 Å, with angles of 90.00, 109.60 and 90.00 degrees. Symmetry generates all atoms from Y at (0.0000, 0.1639, 0.0000), Ho at (0.0000, 0.0000, 0.5000), Ho at (0.0000, 0.3298, 0.5000), Te at (0.2398, 0.5000, 0.7524) and Te at (0.2420, 0.3386, 0.2444).